Record 1
Pm8Ir3I3N | GGA-PBE | optimized geometry

Unit cell a=8.1802 b=8.1802 c=24.1961 alpha=90.00 beta=90.00 gamma=120.00
Last column: nearest neighbours and their distance in Å.
Space group R-3m (No. 166, hexagonal axes)
Asymmetric unit:
Pm 0.0000 0.0000 0.2288  3 Ir 2.80
Pm 0.0237 0.5118 0.2246  1 N 2.60, 2 Ir 2.82
Ir 0.0000 0.5000 0.5000  6 Pm 2.80-2.82
I 0.0000 0.5000 0.0000  6 Pm 3.46-3.48
N 0.0000 0.0000 0.5000  6 Pm 2.60

Output
E_form (uncorrected), eV per formula unit: -12.75
ρ, g cm⁻³: 7.6

Record 2
TbPr6Tl5 | GGA-PBE | optimized geometry

Unit cell a=10.6507 b=11.8554 c=6.3698 alpha=90.00 beta=103.63 gamma=90.00
Last column: nearest neighbours and their distance in Å.
Space group C2/m (No. 12)
Asymmetric unit:
Tb 0.0000 0.0000 0.0000  6 Tl 3.40-3.54, 6 Pr 3.60-3.76
Pr 0.2147 0.5000 0.2097  5 Tl 3.26-3.52, 1 Tb 3.60
Pr 0.2211 0.3162 0.7280  4 Tl 3.25-3.30, 1 Pr 3.48
Tl 0.0000 0.1302 0.5000  1 Tl 3.09, 2 Pr 3.30
Tl 0.0000 0.2869 0.0000  6 Pr 3.25-3.46, 1 Tb 3.40
Tl 0.0000 0.5000 0.5000  6 Pr 3.26-3.29

Output
Calculated formation energy, meV/atom: -193
ρ, g cm⁻³: 8.6

Record 3
CuAs | GGA-PBE | optimized geometry

Unit cell a=12.2164 b=2.8361 c=6.3584 alpha=90.00 beta=116.26 gamma=90.00
Last column: nearest neighbours and their distance in Å.
Space group Cm (No. 8)
Asymmetric unit:
Cu 0.0000 0.0000 0.0000  5 As 2.47-2.72, 2 Cu 2.57
Cu 0.0296 0.5000 0.6914  4 As 2.43-2.66, 4 Cu 2.57-2.69
Cu 0.3839 0.5000 0.3097  4 As 2.57-2.62, 4 Cu 2.69-2.84
As 0.0738 0.5000 0.3550  5 Cu 2.43-2.62
As 0.2197 0.0000 0.9874  5 Cu 2.57-2.72, 3 As 2.69-2.84
As 0.3252 0.0000 0.6951  3 Cu 2.51-2.58, 1 As 2.69

Output
Calculated formation energy, meV/atom: 131
ρ, g cm⁻³: 7.0

Record 4
LiCd2Rh | GGA-PBE | optimized geometry

Unit cell a=3.2895 b=4.5230 c=9.1494 alpha=90.00 beta=90.00 gamma=90.00
Last column: nearest neighbours and their distance in Å.
Space group Imm2 (No. 44)
Asymmetric unit:
Li 0.0000 0.0000 0.0000  2 Rh 2.66, 6 Cd 2.80-2.86
Cd 0.0000 0.0000 0.5226  4 Li 2.80, 2 Rh 2.81, 4 Cd 2.94-3.11
Cd 0.0000 0.5000 0.7564  4 Rh 2.80, 2 Li 2.86, 4 Cd 2.94-3.11
Rh 0.0000 0.5000 0.2722  2 Li 2.66, 6 Cd 2.80-2.81

Output
Calculated formation energy, meV/atom: -193
ρ, g cm⁻³: 8.2

Record 5
Y6Tm5Th2 | GGA-PBE | optimized geometry

Unit cell a=11.6291 b=20.1685 c=3.5680 alpha=90.00 beta=90.00 gamma=90.00
Last column: nearest neighbours and their distance in Å.
Space group Pbam (No. 55)
Asymmetric unit:
Y 0.0639 0.0738 0.0000  5 Y 3.33-3.65, 6 Tm 3.43-3.61
Y 0.0782 0.3608 0.0000  6 Tm 3.39-3.52, 1 Th 3.40, 4 Y 3.48-3.57
Y 0.1780 0.6261 0.5000  2 Tm 3.25-3.28, 4 Y 3.48-3.57, 2 Th 3.53
Tm 0.0000 0.5000 0.5000  6 Y 3.28-3.45, 2 Tm 3.57
Tm 0.0933 0.2183 0.5000  5 Y 3.25-3.43, 4 Th 3.50-3.53, 2 Tm 3.57
Tm 0.1976 0.9383 0.5000  6 Y 3.52-3.61, 3 Tm 3.57-3.73, 2 Th 3.73
Th 0.1680 0.7768 0.0000  3 Y 3.40-3.53, 6 Tm 3.50-3.73, 2 Th 3.57

Output
Calculated formation energy, meV/atom: 117
ρ, g cm⁻³: 7.3

Record 6
Nb2ZnTeSe | GGA-PBE | optimized geometry

Unit cell a=4.8102 b=4.8102 c=5.4786 alpha=90.00 beta=90.00 gamma=90.00
Last column: nearest neighbours and their distance in Å.
Space group P4/mmm (No. 123)
Asymmetric unit:
Nb 0.0000 0.5000 0.0000  2 Se 2.41
Zn 0.0000 0.0000 0.5000  4 Te 3.40, 8 Nb 3.65
Te 0.5000 0.5000 0.5000  2 Se 2.74
Se 0.5000 0.5000 0.0000  4 Nb 2.41

Output
E_form (uncorrected), eV per formula unit: 4.82
ρ, g cm⁻³: 6.0

Record 7
AlCuIrRh | GGA-PBE | optimized geometry

Unit cell a=5.9954 b=5.9954 c=5.9954 alpha=90.00 beta=90.00 gamma=90.00
Last column: nearest neighbours and their distance in Å.
Space group F-43m (No. 216)
Asymmetric unit:
Al 0.0000 0.0000 0.0000  4 Ir 2.60, 4 Rh 2.60
Cu 0.0000 0.0000 0.5000  4 Ir 2.60, 4 Rh 2.60
Ir 0.2500 0.2500 0.7500  4 Al 2.60, 4 Cu 2.60
Rh 0.2500 0.2500 0.2500  4 Al 2.60, 4 Cu 2.60

Output
Calculated formation energy, meV/atom: -457
ρ, g cm⁻³: 11.9

Record 8
KTlCdO3 | GGA-PBE | optimized geometry

Unit cell a=7.2727 b=3.4243 c=10.0052 alpha=90.00 beta=95.49 gamma=90.00
Last column: nearest neighbours and their distance in Å.
Space group P2_1/m (No. 11)
Asymmetric unit:
K 0.1654 0.2500 0.2323  4 O 2.70-2.83
Tl 0.3745 0.7500 0.8778  5 O 2.26-2.33
Cd 0.1606 0.2500 0.5751  4 O 2.18-2.39
O 0.1700 0.7500 0.4414  3 Cd 2.18-2.39
O 0.1911 0.2500 0.8004  1 Cd 2.24, 2 Tl 2.26
O 0.4062 0.7500 0.1066  3 Tl 2.28-2.33

Output
E_form (uncorrected), eV per formula unit: -5.59
ρ, g cm⁻³: 5.4

Record 9
SrCa2Cl | GGA-PBE | optimized geometry

Unit cell a=6.7189 b=11.5861 c=3.9314 alpha=90.00 beta=90.00 gamma=90.00
Last column: nearest neighbours and their distance in Å.
Space group Cmmm (No. 65)
Asymmetric unit:
Sr 0.0000 0.0000 0.0000  2 Cl 3.36
Ca 0.0000 0.3139 0.5000  2 Cl 2.92
Cl 0.0000 0.5000 0.0000  4 Ca 2.92

Output
E_form (uncorrected), eV per formula unit: -2.96
ρ, g cm⁻³: 2.2

Record 10
LuZrInCu | GGA-PBE | optimized geometry

Unit cell a=6.9943 b=6.9943 c=6.9943 alpha=90.00 beta=90.00 gamma=90.00
Last column: nearest neighbours and their distance in Å.
Space group F-43m (No. 216)
Asymmetric unit:
Lu 0.0000 0.0000 0.0000  4 In 3.03, 4 Cu 3.03
Zr 0.0000 0.0000 0.5000  4 Cu 3.03, 4 In 3.03
In 0.2500 0.2500 0.7500  4 Zr 3.03, 4 Lu 3.03
Cu 0.2500 0.2500 0.2500  4 Zr 3.03, 4 Lu 3.03

Output
Calculated formation energy, meV/atom: -173
ρ, g cm⁻³: 8.6

> The highest ρ belongs to which entry?

AlCuIrRh